Compound: Tc2OsW
Source: Alexandria
Functional: PBE
Structure: relaxed

The structure belongs to space group R3m (No. 160, hexagonal axes); the cell edges are 4.3719, 4.3719 and 11.2737 Å and the angles 90.00°, 90.00° and 120.00°. The asymmetric unit holds Tc at (0.0000, 0.0000, 0.0000), Tc at (0.0000, 0.0000, 0.2227), Os at (0.0000, 0.0000, 0.6963) and W at (0.0000, 0.0000, 0.4706).

As for the formation energy: 0.2965 eV/atom. Its magnetic moment is 0.00 μB per cell. The value obtained for the total energy is -131.19 eV per cell. The calculation puts the volume at 186.61 Å³/cell.